Compound: Na4PtF10
Source: the Alexandria database
Functional: PBE
Structure: optimized geometry

Properties
As for the crystal system: tetragonal. The mass density comes out at 4.0 g cm⁻³. The value obtained for the formation energy (no corrections) is -1.92 eV/atom. The value obtained for the raw total energy is -58.83 eV per formula unit.

a = 5.4671 Å, b = 6.6096 Å, c = 6.6096 Å
α = 80.15°, β = 65.57°, γ = 65.57°
Last column: nearest neighbours and their distance in Å.
Element x y z (fractional)
Na 0.4132 0.7731 0.4004  4 F 2.22-2.46
Na 0.8137 0.5996 0.7731  4 F 2.22-2.46
Na 0.1863 0.4004 0.2269  4 F 2.22-2.46
Na 0.5868 0.2269 0.5996  4 F 2.22-2.46
Pt 0.0000 0.0000 0.0000  8 F 2.03
F 0.2500 0.5000 0.5000  4 Na 2.22
F 0.6815 0.2688 0.9380  1 Pt 2.03
F 0.0497 0.0620 0.2688  1 Pt 2.03
F 0.3805 0.9380 0.7312  1 Pt 2.03
F 0.8883 0.7312 0.0620  1 Pt 2.03
F 0.3185 0.7312 0.0620  1 Pt 2.03
F 0.7500 0.5000 0.5000  4 Na 2.22
F 0.1117 0.2688 0.9380  1 Pt 2.03
F 0.6195 0.0620 0.2688  1 Pt 2.03
F 0.9503 0.9380 0.7312  1 Pt 2.03

Compound: LaTcSe2Br
Source: the Alexandria database
Functional: PBE
Structure: optimized geometry

Properties
Its excess energy over the best structure of this formula in the dataset is 704 meV per atom. As for the crystal system: tetragonal. The mass density comes out at 4.2 g cm⁻³. The value obtained for the formation energy (no corrections) is 0.11 eV/atom. The value obtained for the raw total energy is -23.37 eV per formula unit.

a = 5.7699 Å, b = 5.7699 Å, c = 5.6595 Å
α = 90.00°, β = 90.00°, γ = 90.00°
Last column: nearest neighbours and their distance in Å.
Element x y z (fractional)
Se 0.0000 0.5000 0.0000  2 La 2.88
Se 0.5000 0.0000 0.0000  2 La 2.88
Tc 0.5000 0.5000 0.5000  8 Se 4.04, 4 Br 4.08
Br 0.0000 0.0000 0.5000  2 La 2.83
La 0.0000 0.0000 0.0000  2 Br 2.83, 4 Se 2.88

Compound: KZr2Fe
Source: the Alexandria database
Functional: PBE
Structure: optimized geometry

Properties
Its excess energy over the best structure of this formula in the dataset is 134 meV per atom. As for the crystal system: orthorhombic. The mass density comes out at 4.2 g cm⁻³. The value obtained for the raw total energy is -24.88 eV per formula unit.

a = 10.4015 Å, b = 10.4015 Å, c = 10.4015 Å
α = 161.61°, β = 162.10°, γ = 25.77°
Last column: nearest neighbours and their distance in Å.
Element x y z (fractional)
Fe 0.5521 0.5521 0.0000  6 Zr 2.48-2.61
K 0.3114 0.8114 0.5000  4 K 3.24-3.32
Zr 0.9936 0.9936 0.0000  4 Fe 2.61
Zr 0.6429 0.1429 0.5000  2 Fe 2.48